# NpSc2B2Ru5

A relaxed structure of NpSc2B2Ru5 (GGA-PBE, Alexandria).

Cell: 3.104 9.584 9.584 Å, 90.00 90.00 90.00°
Last column: magnetic moment on the atom in μB.
Fractional positions:
Ru1 0.500 0.718 0.426  -0.16
Ru2 0.500 0.218 0.074  -0.16
Ru3 0.500 0.500 0.000  -0.04
Ru4 0.500 0.926 0.218  -0.16
Ru5 0.500 0.282 0.574  -0.16
Ru6 0.500 0.574 0.718  -0.16
Ru7 0.500 0.782 0.926  -0.16
Ru8 0.500 0.426 0.282  -0.16
Ru9 0.500 0.074 0.782  -0.16
Ru10 0.500 0.000 0.500  -0.04
Sc1 0.000 0.330 0.830  0.02
Sc2 0.000 0.670 0.170  0.02
Sc3 0.000 0.170 0.330  0.02
Sc4 0.000 0.830 0.670  0.02
Np1 0.000 0.500 0.500  2.09
Np2 0.000 0.000 0.000  2.09
B1 0.000 0.120 0.620  0.01
B2 0.000 0.620 0.880  0.01
B3 0.000 0.380 0.120  0.01
B4 0.000 0.880 0.380  0.01

Values from the calculation:
Calculated volume in A^3/atom: 14.3
Space group: P4/mbm (127)
Formation energy in eV/atom: -0.49